Here is crystalline LiInFeO2 at its relaxed geometry from the Alexandria database. Energies are from GGA+U.

## Properties
**Electronic total energy**: -3.982 eV/atom

Geometry as CIF:
```
data_LiInFeO2
_chemical_formula_sum 'Li1 In1 Fe1 O2'
_symmetry_space_group_name_H-M 'P 4/m m m'
_symmetry_Int_Tables_number 123
_symmetry_space_group_name_Hall '-P 4 2'
_cell_length_a 3.955
_cell_length_b 3.955
_cell_length_c 3.933
_cell_angle_alpha 90.00
_cell_angle_beta 90.00
_cell_angle_gamma 90.00
loop_
_atom_site_label
_atom_site_type_symbol
_atom_site_fract_x
_atom_site_fract_y
_atom_site_fract_z
Li1 Li 0.000 0.000 0.000
In1 In 0.500 0.500 0.500
Fe1 Fe 0.000 0.000 0.500
O1 O 0.000 0.500 0.000
```